1.
FeBi | PBE | optimized geometry

Calculated values
The space-group type is C2/m (12). For the formation energy from the elements, the calculation gives 0.20 eV/atom.

a b c (Å): 8.141 4.620 4.621
angles (deg): 90.00 89.90 90.00
Element x y z (fractional)
Fe1 0.549 0.500 0.658
Fe2 0.679 0.500 0.157
Fe3 0.549 0.000 0.158
Fe4 0.679 0.000 0.657
Bi1 0.903 0.500 0.657
Bi2 0.903 0.000 0.157
Bi3 0.325 0.000 0.659
Bi4 0.325 0.500 0.159

---

2.
Sr2Al7Rh | PBE | optimized geometry

Calculated values
The space-group type is P-4m2 (115). For the formation energy from the elements, the calculation gives -0.33 eV/atom.

a b c (Å): 4.362 4.362 11.251
angles (deg): 90.00 90.00 90.00
Element x y z (fractional)
Al1 0.500 0.000 0.121
Al2 0.000 0.500 0.879
Al3 0.500 0.000 0.360
Al4 0.500 0.500 0.500
Al5 0.000 0.000 0.500
Al6 0.000 0.500 0.640
Al7 0.000 0.000 0.000
Sr1 0.500 0.000 0.755
Sr2 0.000 0.500 0.245
Rh1 0.500 0.500 0.000